[1]
First-principles (PBE) data for a geometry-optimized Ho2ErTmMg2 structure, as listed in OQMD.

Cell: 5.4198 3.6300 17.0916 Å, 90.00 90.00 90.00°
With the nearest neighbours (Å) after each atom.
Space group Amm2 (No. 38)
Unique sites:
Ho 0.0000 0.0000 0.0000 x2  2 Mg 3.30, 6 Ho 3.36-3.63, 2 Er 3.53, 2 Tm 3.57
Ho 0.5000 0.0000 0.4528 x2  2 Mg 3.30, 6 Ho 3.36-3.63, 2 Tm 3.53, 2 Er 3.57
Er 0.5000 0.0000 0.1328 x2  6 Mg 3.27-3.30, 4 Ho 3.53-3.57, 2 Er 3.63
Tm 0.0000 0.0000 0.3202 x2  6 Mg 3.27-3.30, 4 Ho 3.53-3.57, 2 Tm 3.63
Mg 0.0000 0.0000 0.6614 x2  2 Tm 3.27, 4 Er 3.30, 2 Ho 3.30, 4 Mg 3.51-3.63
Mg 0.5000 0.0000 0.7916 x2  2 Er 3.27, 4 Tm 3.30, 2 Ho 3.30, 4 Mg 3.51-3.63

Results
Calculated density = 7.06 g cm⁻³
Calculated volume = 168.1 Å³/f.u.



[2]
First-principles (PBE) data for a geometry-optimized ErHf2Co9 structure, as listed in OQMD.

Cell: 4.8439 4.8439 23.6108 Å, 90.00 90.00 120.00°
With the nearest neighbours (Å) after each atom.
Space group R-3m (No. 166, hexagonal axes)
Unique sites:
Er 0.0000 0.0000 0.0000 x3  6 Co 2.80
Hf 0.0000 0.0000 0.1398 x6  12 Co 2.75-2.92, 3 Hf 3.07
Co 0.0000 0.0000 0.3356 x6  6 Co 2.41-2.47
Co 0.0000 0.0000 0.5000 x3  6 Co 2.41
Co 0.0064 0.5032 0.9155 x18  7 Co 2.38-2.47

Results
Calculated density = 10.95 g cm⁻³
Formation energy from the elements = -280 meV per atom
Calculated volume = 159.9 Å³/f.u.



[3]
First-principles (PBE) data for a geometry-optimized DyTlFe structure, as listed in OQMD.

Cell: 6.7268 6.7268 6.7268 Å, 90.00 90.00 90.00°
With the nearest neighbours (Å) after each atom.
Space group F-43m (No. 216)
Unique sites:
Dy 0.0000 0.0000 0.0000 x4  4 Tl 2.91, 4 Fe 2.91
Tl 0.2500 0.2500 0.2500 x4  4 Dy 2.91
Fe 0.2500 0.2500 0.7500 x4  4 Dy 2.91

Results
Calculated density = 9.22 g cm⁻³
Calculated volume = 76.1 Å³/f.u.



[4]
First-principles (PBE) data for a geometry-optimized Lu4CoNiN2 structure, as listed in OQMD.

Cell: 3.3447 3.3447 13.2643 Å, 90.00 90.00 120.00°
With the nearest neighbours (Å) after each atom.
Space group P-6m2 (No. 187)
Unique sites:
Lu 0.0000 0.0000 0.1460 x2  3 N 2.39
Lu 0.6667 0.3333 0.3516 x2  3 N 2.34
Co 0.6667 0.3333 0.0000 x1  6 Lu 2.74
Ni 0.0000 0.0000 0.5000 x1  6 Lu 2.76
N 0.3333 0.6667 0.2518 x2  6 Lu 2.34-2.39

Results
Calculated density = 10.93 g cm⁻³
Calculated volume = 128.5 Å³/f.u.



[5]
First-principles (PBE) data for a geometry-optimized LuCoSbIr structure, as listed in OQMD.

Cell: 6.5893 6.5893 6.5893 Å, 90.00 90.00 90.00°
With the nearest neighbours (Å) after each atom.
Space group F-43m (No. 216)
Unique sites:
Lu 0.0000 0.0000 0.0000 x4  4 Ir 2.85, 4 Sb 2.85
Co 0.0000 0.0000 0.5000 x4  4 Sb 2.85, 4 Ir 2.85
Sb 0.2500 0.2500 0.2500 x4  4 Co 2.85, 4 Lu 2.85
Ir 0.2500 0.2500 0.7500 x4  4 Co 2.85, 4 Lu 2.85

Results
Calculated density = 12.72 g cm⁻³
ΔE to the lowest computed polymorph = 0.393 eV/atom
Calculated volume = 71.5 Å³/f.u.



[6]
First-principles (PBE) data for a geometry-optimized NaTaCdPd structure, as listed in OQMD.

Cell: 6.6516 6.6516 6.6516 Å, 90.00 90.00 90.00°
With the nearest neighbours (Å) after each atom.
Space group F-43m (No. 216)
Unique sites:
Na 0.0000 0.0000 0.0000 x4  4 Cd 2.88, 4 Pd 2.88
Ta 0.0000 0.0000 0.5000 x4  4 Cd 2.88, 4 Pd 2.88
Cd 0.2500 0.2500 0.7500 x4  4 Ta 2.88, 4 Na 2.88
Pd 0.2500 0.2500 0.2500 x4  4 Ta 2.88, 4 Na 2.88

Results
Calculated density = 9.54 g cm⁻³
ΔE to the lowest computed polymorph = 0.038 eV/atom
Calculated volume = 73.6 Å³/f.u.



Summary of VASP energy in eV/cell
-43.202, -275.373, -51.621, -54.074, -98.508, -71.409
(order as listed above)